## TiNb2Si (PBE)

Data for an optimized crystal structure of TiNb2Si.

abc: 4.373 3.881 3.881
angles: 90.00 90.00 90.00
Atoms (fractional coordinates):
Nb 0.000 0.000 0.500
Nb 0.000 0.500 0.000
Si 0.500 0.000 0.000
Ti 0.500 0.500 0.500

Computed properties:
The total energy comes out at -8.719 eV per atom. The total magnetic moment comes out at 0.0 Bohr magnetons per cell. The space group is P4/mmm.